Entry 1:
## Bi8Pt2Rh (PBE)

Data for a relaxed Bi8Pt2Rh crystal.

Energy relative to the elements: 0.02 eV per atom
Total magnetization: 0.00 μB/f.u.
E: -4.574 eV per atom
Space-group type: C2/m (12)
DOS at the Fermi energy: 6.1 states/eV/cell

a b c (Å): 5.4560 8.4569 8.4569
angles (deg): 58.53 88.71 88.71
Closest atoms and distances in Å follow each position.
Fractional positions:
Bi: 0.2522 0.3372 0.8008  1 Pt 2.76, 1 Rh 2.81
Bi: 0.7478 0.1992 0.6628  1 Pt 2.76, 1 Rh 2.81
Bi: 0.2754 0.8407 0.8407  2 Pt 2.74-2.75, 1 Rh 2.76
Bi: 0.7246 0.1593 0.1593  2 Pt 2.74-2.75, 1 Rh 2.76
Bi: 0.2522 0.8008 0.3372  1 Pt 2.76, 1 Rh 2.81
Bi: 0.7478 0.6628 0.1992  1 Pt 2.76, 1 Rh 2.81
Bi: 0.7944 0.6372 0.6372  1 Pt 2.69
Bi: 0.2056 0.3628 0.3628  1 Pt 2.69
Pt: 0.7782 0.8196 0.8196  5 Bi 2.69-2.76, 1 Rh 2.95
Pt: 0.2218 0.1804 0.1804  5 Bi 2.69-2.76, 1 Rh 2.95
Rh: 0.0000 0.0000 0.0000  6 Bi 2.76-2.81, 2 Pt 2.95

---

Entry 2:
## LiEuCu (PBE)

Data for a relaxed LiEuCu crystal.

Energy relative to the elements: 0.11 eV per atom
Total magnetization: 7.23 μB/f.u.
E: -5.323 eV per atom
Space-group type: F-43m (216)
DOS at the Fermi energy: 12.1 states/eV/cell

a b c (Å): 4.8371 4.8371 4.8371
angles (deg): 60.00 60.00 60.00
Closest atoms and distances in Å follow each position.
Fractional positions:
Eu: 0.0000 0.0000 0.0000  4 Cu 2.96
Cu: 0.2500 0.2500 0.2500  4 Li 2.96, 4 Eu 2.96
Li: 0.5000 0.5000 0.5000  4 Cu 2.96

---

Entry 3:
## PtRh2Pb (PBE)

Data for a relaxed PtRh2Pb crystal.

Energy relative to the elements: 0.15 eV per atom
Total magnetization: 0.00 μB/f.u.
E: -5.965 eV per atom
Space-group type: F-43m (216)
DOS at the Fermi energy: 5.3 states/eV/cell

a b c (Å): 4.5732 4.5732 4.5732
angles (deg): 60.00 60.00 60.00
Closest atoms and distances in Å follow each position.
Fractional positions:
Pt: 0.2500 0.2500 0.2500  4 Pb 2.80, 4 Rh 2.80
Rh: 0.0000 0.0000 0.0000  4 Rh 2.80, 4 Pt 2.80
Rh: 0.7500 0.7500 0.7500  4 Pb 2.80, 4 Rh 2.80
Pb: 0.5000 0.5000 0.5000  4 Pt 2.80, 4 Rh 2.80

---

Entry 4:
## MgCoMo2 (PBE)

Data for a relaxed MgCoMo2 crystal.

Energy relative to the elements: 0.32 eV per atom
Total magnetization: 0.00 μB/f.u.
E: -7.275 eV per atom
Space-group type: F-43m (216)
DOS at the Fermi energy: 5.3 states/eV/cell

a b c (Å): 4.3726 4.3726 4.3726
angles (deg): 120.02 120.02 89.97
Closest atoms and distances in Å follow each position.
Fractional positions:
Co: 0.5000 0.5000 0.0000  4 Mo 2.68, 4 Mg 2.68
Mg: 0.7500 0.2500 0.5000  4 Co 2.68, 4 Mo 2.68
Mo: 0.0000 0.0000 0.0000  4 Mo 2.68, 4 Mg 2.68
Mo: 0.2500 0.7500 0.5000  4 Mo 2.68, 4 Co 2.68

---

Entry 5:
## PmScCu2 (PBE)

Data for a relaxed PmScCu2 crystal.

Energy relative to the elements: -0.21 eV per atom
Total magnetization: 0.00 μB/f.u.
E: -5.028 eV per atom
Space-group type: P4/mmm (123)
DOS at the Fermi energy: 2.1 states/eV/cell

a b c (Å): 3.3693 3.3693 6.9701
angles (deg): 90.00 90.00 90.00
Closest atoms and distances in Å follow each position.
Fractional positions:
Sc: 0.5000 0.5000 0.0000  8 Cu 2.79
Cu: 0.0000 0.0000 0.7919  4 Sc 2.79, 1 Cu 2.90
Cu: 0.0000 0.0000 0.2081  4 Sc 2.79, 1 Cu 2.90
Pm: 0.5000 0.5000 0.5000  8 Cu 3.13, 4 Pm 3.37, 2 Sc 3.49